1.
Material: LiAcSc2Hg4
Method: DFT, GGA-PBE
State: relaxed

Calculated values
Density of states at the Fermi level = 0.9388 states/eV/atom
Calculated formation energy = -0.378 eV/atom

abc: 9.7837 9.7837 9.7837
angles: 29.18 29.18 29.18
Element x y z (fractional)
1 Li 0.0000 0.0000 0.0000
2 Ac 0.5000 0.5000 0.5000
3 Sc 0.2640 0.2640 0.2640
4 Sc 0.7360 0.7360 0.7360
5 Hg 0.1016 0.1016 0.1016
6 Hg 0.3706 0.3706 0.3706
7 Hg 0.6294 0.6294 0.6294
8 Hg 0.8984 0.8984 0.8984

2.
Material: LiAcSm2Hg4
Method: DFT, GGA-PBE
State: relaxed

Calculated values
Density of states at the Fermi level = 0.8085 states/eV/atom
Calculated formation energy = -0.429 eV/atom

abc: 9.6794 9.6794 9.6794
angles: 31.51 31.51 31.51
Element x y z (fractional)
1 Li 0.0000 0.0000 0.0000
2 Ac 0.5000 0.5000 0.5000
3 Sm 0.2596 0.2596 0.2596
4 Sm 0.7404 0.7404 0.7404
5 Hg 0.1112 0.1112 0.1112
6 Hg 0.3721 0.3721 0.3721
7 Hg 0.6279 0.6279 0.6279
8 Hg 0.8888 0.8888 0.8888

Final energy for the records above, in order: -22.9; -20.1 eV for the cell shown